Below is crystalline Rb3Th3ZnTe8 at its relaxed geometry, with properties calculated at the PBE-GGA level.

Geometry as POSCAR:
```
Rb3Th3ZnTe8
1.0
9.113 0.000 0.000
-4.557 7.885 -0.031
0.000 -5.221 8.710
Th Te Rb Zn
3 8 3 1
Cartesian
-2.278 1.332 4.340
2.278 1.332 4.340
4.557 -2.610 4.355
2.230 -1.331 2.699
4.557 2.707 2.690
-2.327 3.996 5.980
2.327 3.996 5.981
0.000 2.638 2.511
6.884 -1.332 2.699
4.557 0.026 6.168
0.000 -0.043 5.989
0.000 0.000 0.000
-2.278 3.943 -0.015
2.278 3.943 -0.015
0.000 -2.611 4.355
```

- Energy: -67.217 eV for the cell shown
- Crystal system: monoclinic
- DOS at the Fermi energy: 3.478 states/eV/cell
- Formation energy without anion corrections: -15.65 eV/f.u.
- Space group: No. 12

---

Below is crystalline Rb3Th2ZrTe6 at its relaxed geometry, with properties calculated at the PBE-GGA level.

Geometry as POSCAR:
```
Rb3Th2ZrTe6
1.0
-1.080 7.526 0.957
-1.836 -3.333 -6.652
-7.132 -2.954 4.923
Te Zr Rb Th
6 1 3 2
Cartesian
-7.805 2.627 0.736
-3.664 2.534 -3.253
-8.047 -0.849 -1.699
-2.243 -1.387 -1.507
-2.001 2.088 0.928
-6.384 -1.295 2.482
0.000 0.000 0.000
-4.776 4.187 2.114
-5.272 -2.948 -2.885
-5.024 0.620 -0.385
-1.583 0.299 -4.107
-1.333 3.894 -1.587
```

- Energy: -58.205 eV for the cell shown
- Crystal system: monoclinic
- DOS at the Fermi energy: 8.531 states/eV/cell
- Formation energy without anion corrections: -13.06 eV/f.u.
- Space group: No. 12

---

Below is crystalline Rb3Th3ZrTe8 at its relaxed geometry, with properties calculated at the PBE-GGA level.

Geometry as POSCAR:
```
Rb3Th3ZrTe8
1.0
-8.304 0.898 -2.693
3.444 -8.005 1.009
-2.324 4.912 8.805
Te Th Rb Zr
8 3 3 1
Cartesian
-4.486 -3.688 5.131
-6.147 0.359 4.775
-5.238 -2.220 1.111
-0.147 -4.158 6.538
-1.037 -2.554 2.346
-2.698 1.493 1.990
-7.037 1.963 0.583
-1.946 0.025 6.010
-3.592 -1.098 3.560
-5.314 2.905 3.056
0.560 -1.547 4.907
1.722 -4.003 0.504
-2.430 -3.553 -0.842
0.000 0.000 0.000
-1.162 2.456 4.403
```

- Energy: -75.688 eV for the cell shown
- Crystal system: trigonal
- DOS at the Fermi energy: 10.487 states/eV/cell
- Formation energy without anion corrections: -16.84 eV/f.u.
- Space group: No. 166

---

Below is crystalline Rb3Ti5Te12 at its relaxed geometry, with properties calculated at the PBE-GGA level.

Geometry as POSCAR:
```
Rb3Ti5Te12
1.0
-5.991 14.259 2.245
-11.394 -10.652 0.984
10.795 -2.894 10.924
Rb Te Ti
12 48 20
Cartesian
-4.045 -4.451 8.408
0.827 -5.625 10.735
1.126 1.148 4.781
-2.622 -9.709 9.335
-6.669 -2.034 4.188
5.849 -3.413 10.085
-7.416 6.338 3.418
-2.545 5.164 5.746
-3.967 10.422 4.818
-7.716 -0.435 9.373
0.079 2.747 9.965
-12.438 4.126 4.068
-9.280 2.780 8.362
-0.524 -0.415 11.856
2.690 -2.067 5.792
-5.188 8.766 1.703
-6.718 -5.311 5.976
-6.545 -9.529 5.488
3.163 1.212 11.358
-2.984 -7.405 6.420
5.302 -0.344 8.031
-9.753 -0.499 2.796
-7.941 -4.849 2.092
-2.343 3.938 12.518
1.351 5.562 12.061
-7.502 -4.122 9.779
-9.853 -8.644 2.175
-10.728 7.337 4.823
-3.333 2.766 8.497
-3.256 -2.053 5.657
-1.603 7.924 3.415
3.263 9.357 11.979
-7.182 9.002 6.024
-1.401 -8.053 12.451
-6.065 1.128 2.298
-8.879 2.999 4.136
2.290 -2.286 10.017
-5.993 1.920 11.702
-5.951 0.897 6.387
-0.638 -0.184 7.767
0.912 4.835 4.375
-3.605 8.118 7.733
-4.987 -7.210 10.739
-4.124 4.908 2.393
2.830 3.071 7.489
-0.597 -1.206 2.452
8.580 -1.246 11.369
-2.465 -4.195 11.761
-0.435 -4.417 7.456
-9.420 -2.358 6.664
0.129 6.024 8.178
-6.154 5.131 6.697
-2.577 1.605 4.679
-4.012 -0.892 9.475
-15.169 1.959 2.785
4.138 -6.624 9.330
-4.247 -3.225 1.636
0.592 -8.288 8.130
-0.045 10.242 8.666
-11.891 1.057 6.123
-3.746 2.322 2.453
-8.692 1.804 1.615
-0.299 -6.773 5.954
-2.844 -1.609 11.700
-11.015 -1.132 4.996
-7.566 2.952 6.396
-5.697 -5.326 0.492
-1.343 8.005 9.038
-3.295 0.357 7.077
-4.267 3.649 10.773
-10.118 -6.117 2.788
-2.323 -2.936 3.381
-5.246 -7.292 5.116
-2.995 7.130 1.122
0.977 -2.239 7.758
3.528 6.831 11.365
5.398 -1.447 5.462
2.402 5.683 6.585
0.000 0.000 0.000
4.426 1.845 9.158
```

- Energy: -366.211 eV for the cell shown
- Crystal system: cubic
- DOS at the Fermi energy: 57.325 states/eV/cell
- Formation energy without anion corrections: -11.48 eV/f.u.
- Space group: No. 230

---

Below is crystalline Rb2Ti3Te6 at its relaxed geometry, with properties calculated at the PBE-GGA level.

Geometry as POSCAR:
```
Rb2Ti3Te6
1.0
-3.844 4.917 2.855
0.354 1.140 6.762
5.271 7.560 -0.380
Ti Te Rb
3 6 2
Cartesian
-1.151 2.012 3.234
-2.339 4.045 6.383
0.000 0.000 0.000
-1.229 4.750 3.884
3.010 8.867 5.353
1.520 9.737 1.758
4.156 6.858 2.107
-2.375 6.759 7.130
-0.093 2.740 0.717
2.234 5.358 4.800
-0.453 8.259 4.437
```

- Energy: -53.486 eV for the cell shown
- Crystal system: monoclinic
- DOS at the Fermi energy: 5.888 states/eV/cell
- Formation energy without anion corrections: -9.02 eV/f.u.
- Space group: No. 12

---

Below is crystalline Rb8TiTe6 at its relaxed geometry, with properties calculated at the PBE-GGA level.

Geometry as POSCAR:
```
Rb8TiTe6
1.0
9.523 0.000 0.000
0.000 10.382 0.000
0.000 0.000 14.942
Te Rb Ti
12 16 2
Cartesian
2.688 5.191 12.326
8.239 5.191 13.871
1.890 3.056 1.055
1.890 7.326 1.055
7.013 0.000 14.005
2.509 5.191 6.534
2.862 0.000 11.120
7.633 8.247 8.526
6.835 0.000 4.855
7.633 2.135 8.526
6.661 5.191 3.649
1.284 0.000 6.400
7.870 2.381 1.568
0.189 8.337 12.574
5.494 2.415 11.756
1.652 7.572 9.039
9.334 7.237 5.103
0.189 2.045 12.574
1.652 2.810 9.039
4.906 5.191 0.495
7.870 8.001 1.568
4.617 0.000 7.966
4.029 7.606 4.285
9.334 3.146 5.103
4.029 2.776 4.285
3.501 10.382 14.729
5.494 7.967 11.756
6.021 5.191 7.258
1.267 5.191 14.566
8.256 0.000 7.095
```

- Energy: -97.823 eV for the cell shown
- Crystal system: orthorhombic
- Formation energy without anion corrections: -14.43 eV/f.u.
- Space group: No. 31

---

Below is crystalline Rb3TiTe at its relaxed geometry, with properties calculated at the PBE-GGA level.

Geometry as POSCAR:
```
Rb3TiTe
1.0
7.001 0.000 0.000
0.000 7.001 0.000
0.000 0.000 7.001
Te Rb Ti
1 3 1
Cartesian
0.000 0.000 0.000
0.000 0.000 3.501
0.000 3.501 0.000
3.501 0.000 0.000
3.501 3.501 3.501
```

- Excess energy over the best structure of this formula in the dataset: 0.00 eV/f.u.
- Energy: -12.501 eV for the cell shown
- Crystal system: cubic
- DOS at the Fermi energy: 24.577 states/eV/cell
- Formation energy without anion corrections: 1.44 eV/f.u.
- Space group: No. 221

---

Below is crystalline Rb3Ti3Te11 at its relaxed geometry, with properties calculated at the PBE-GGA level.

Geometry as POSCAR:
```
Rb3Ti3Te11
1.0
-1.572 8.123 -6.993
9.574 -6.764 -9.366
-11.956 -7.915 -6.505
Te Ti Rb
44 12 12
Cartesian
-4.215 -4.355 -13.823
-9.292 -5.746 -6.229
-4.207 -0.868 -14.546
2.788 -3.884 -17.013
-3.764 -4.951 -19.282
4.835 -3.046 -13.567
-6.742 -2.673 -5.852
0.208 -1.195 -15.198
1.545 2.192 -12.917
5.337 -0.811 -16.636
-4.162 -5.362 -7.667
-1.158 -9.030 -13.831
0.253 -5.689 -8.319
-7.188 -4.938 -16.452
-7.758 -2.266 -13.203
-5.182 0.888 -12.130
-7.710 -7.435 -8.653
-2.796 2.473 -9.033
-1.927 -10.492 -17.524
-8.240 1.631 -12.210
4.286 -8.188 -10.655
0.118 -4.199 -5.776
0.261 -2.202 -9.042
-5.499 -8.749 -9.947
3.234 -1.619 -6.413
0.680 3.325 -6.814
3.755 0.878 -14.212
1.527 -2.439 -13.005
1.228 -7.446 -10.735
-0.170 -7.191 -17.405
-8.789 -3.511 -9.298
-2.307 -1.166 -7.154
-5.481 -4.118 -9.859
-4.391 -7.484 -18.148
-3.784 0.634 -5.460
-1.647 -5.391 -15.711
-4.683 -7.147 -14.493
-4.635 -9.882 -16.051
3.804 -4.291 -9.661
-0.190 -1.606 -3.583
0.729 0.590 -8.372
-4.073 -2.359 -17.088
0.437 0.926 -4.717
-2.027 3.935 -5.341
-1.504 1.518 -6.827
-4.253 3.144 -6.903
-2.450 -8.075 -16.037
2.950 -6.666 -8.623
-6.132 -2.826 -15.242
-4.391 -5.174 -16.562
0.299 -9.701 -15.962
-6.921 -4.880 -7.582
2.178 -3.732 -7.623
-6.905 0.109 -14.242
0.437 -1.383 -6.303
2.967 -1.678 -15.283
1.606 5.009 -9.978
7.179 -5.390 -11.392
-7.791 -5.949 -12.372
-11.133 -1.167 -11.472
3.837 -0.608 -10.493
-3.518 -3.508 -4.138
-0.436 -3.049 -18.726
-5.740 -0.552 -8.766
1.786 -6.005 -14.099
-2.566 -6.629 -11.030
-1.388 0.071 -11.835
-5.560 -11.566 -12.887
```

- Energy: -293.728 eV for the cell shown
- Crystal system: monoclinic
- DOS at the Fermi energy: 13.414 states/eV/cell
- Formation energy without anion corrections: -12.29 eV/f.u.
- Space group: No. 14

---

Below is crystalline RbTiTe4 at its relaxed geometry, with properties calculated at the PBE-GGA level.

Geometry as POSCAR:
```
RbTiTe4
1.0
-3.380 1.723 -4.893
-7.537 0.823 5.496
5.761 7.027 -1.129
Ti Te Rb
2 8 2
Cartesian
-4.642 1.056 1.454
-0.514 8.516 -1.980
1.603 6.291 -1.739
-1.227 6.600 0.324
-3.935 3.686 2.030
-3.929 2.973 -0.850
-1.941 0.212 1.415
-5.596 0.611 4.081
-6.759 3.282 1.213
-1.222 5.886 -2.556
-5.074 6.689 0.018
-0.082 2.884 -0.544
```

- Excess energy over the best structure of this formula in the dataset: 0.00 eV/f.u.
- Energy: -49.827 eV for the cell shown
- Crystal system: monoclinic
- DOS at the Fermi energy: 2.998 states/eV/cell
- Formation energy without anion corrections: -3.48 eV/f.u.
- Space group: No. 12

---

Below is crystalline Rb2TiTe2 at its relaxed geometry, with properties calculated at the PBE-GGA level.

Geometry as POSCAR:
```
Rb2TiTe2
1.0
7.868 0.000 0.000
0.000 7.868 0.000
0.000 0.000 5.812
Rb Ti Te
4 2 4
Cartesian
6.686 2.752 2.906
2.752 1.182 2.906
1.182 5.116 2.906
5.116 6.686 2.906
0.000 0.000 0.000
3.934 3.934 0.000
2.542 6.476 0.000
1.392 2.542 0.000
5.326 1.392 0.000
6.476 5.326 0.000
```

- Excess energy over the best structure of this formula in the dataset: 1.46 eV/f.u.
- Energy: -37.254 eV for the cell shown
- Crystal system: tetragonal
- DOS at the Fermi energy: 3.526 states/eV/cell
- Formation energy without anion corrections: -2.51 eV/f.u.
- Space group: No. 127

---

Below is crystalline RbTi2Te2 at its relaxed geometry, with properties calculated at the PBE-GGA level.

Geometry as POSCAR:
```
RbTi2Te2
1.0
4.148 0.000 0.000
0.000 4.148 0.000
2.074 2.074 8.338
Te Rb Ti
2 1 2
Cartesian
4.148 4.148 6.048
2.074 2.074 2.289
0.000 0.000 0.000
2.074 4.148 4.169
4.148 2.074 4.169
```

- Energy: -26.278 eV for the cell shown
- Crystal system: tetragonal
- DOS at the Fermi energy: 4.160 states/eV/cell
- Formation energy without anion corrections: -3.24 eV/f.u.
- Space group: No. 139

---

Below is crystalline Rb6TiTe4 at its relaxed geometry, with properties calculated at the PBE-GGA level.

Geometry as POSCAR:
```
Rb6TiTe4
1.0
-8.750 -0.839 1.034
0.363 -10.224 -5.222
1.281 0.677 11.394
Rb Te Ti
12 8 2
Cartesian
-7.122 -9.085 4.659
-0.492 -0.333 5.864
-0.341 -4.580 3.695
-2.824 -1.255 9.500
-4.617 -9.861 1.105
0.191 -4.298 8.428
-5.300 -5.895 -1.458
-4.768 -5.614 3.275
-7.856 -9.473 -1.871
-2.616 -7.114 6.506
-8.064 -3.613 1.122
-3.559 -1.643 2.969
-6.169 -6.307 6.858
-1.978 -8.066 3.021
-6.314 -2.211 8.950
-6.828 -2.482 4.385
-7.485 -7.372 1.280
-2.636 -4.241 0.549
-2.804 -3.319 6.302
-2.491 -8.337 -1.544
-5.571 -3.584 6.629
-1.502 -6.798 0.573
```

- Energy: -72.114 eV for the cell shown
- Crystal system: hexagonal
- DOS at the Fermi energy: 13.211 states/eV/cell
- Formation energy without anion corrections: -9.79 eV/f.u.
- Space group: No. 186

---

Below is crystalline RbTiTe at its relaxed geometry, with properties calculated at the PBE-GGA level.

Geometry as POSCAR:
```
RbTiTe
1.0
4.200 0.000 0.000
0.000 4.200 0.000
0.000 0.000 12.387
Ti Rb Te
2 2 2
Cartesian
2.100 2.100 6.193
0.000 0.000 6.193
2.100 0.000 2.324
0.000 2.100 10.063
2.100 0.000 8.054
0.000 2.100 4.332
```

- Energy: -27.246 eV for the cell shown
- Crystal system: tetragonal
- DOS at the Fermi energy: 7.087 states/eV/cell
- Formation energy without anion corrections: -1.62 eV/f.u.
- Space group: No. 129

---

Below is crystalline Rb2TiTe4 at its relaxed geometry, with properties calculated at the PBE-GGA level.

Geometry as POSCAR:
```
Rb2TiTe4
1.0
-1.078 3.255 -4.310
-4.792 1.453 2.295
1.206 9.329 3.224
Ti Rb Te
1 2 4
Cartesian
0.000 0.000 0.000
-2.954 9.618 0.963
-1.709 4.418 0.245
-2.396 0.726 1.148
-0.539 1.627 -2.155
-4.645 6.769 -0.765
-0.018 7.267 1.973
```

- Excess energy over the best structure of this formula in the dataset: 0.08 eV/f.u.
- Energy: -26.761 eV for the cell shown
- Crystal system: tetragonal
- DOS at the Fermi energy: 7.928 states/eV/cell
- Formation energy without anion corrections: -4.36 eV/f.u.
- Space group: No. 139